(1)
Crystalline BaInMo at its relaxed geometry, computed with PBE-GGA.

Output
- ΔH_f (0 K): 0.617 eV/atom
- Energy relative to the lowest polymorph listed for this composition: 0 meV per atom
- Calculated density: 6.600 g cm⁻³
- Space group: I4mm, No. 107
- D(E_F): 3.96 states/eV per cell

a b c (Å): 6.5760 6.5760 6.5760
angles (deg): 146.21 146.21 48.53
Last column: nearest neighbours and their distance in Å.
Sites, in units of the cell vectors:
Ba 0.0018 0.0018 0.0000  1 In 3.32, 1 Mo 3.39
Mo 0.7191 0.7191 0.0000  4 In 2.80
In 0.2791 0.2791 0.0000  4 Mo 2.80

(2)
Crystalline NdSi2PdPt2 at its relaxed geometry, computed with PBE-GGA.

Output
- Raw formation energy: -0.962 eV/atom
- Calculated density: 10.820 g cm⁻³
- Space group: P-3m1, No. 164
- D(E_F): 0.83 states/eV per cell

a b c (Å): 4.2217 4.2217 6.9300
angles (deg): 90.00 90.00 120.00
Last column: nearest neighbours and their distance in Å.
Sites, in units of the cell vectors:
Pd 0.0000 0.0000 0.5000  6 Si 2.73, 6 Pt 2.82
Si 0.6667 0.3333 0.6784  4 Pt 2.44-2.66, 3 Pd 2.73
Si 0.3333 0.6667 0.3216  4 Pt 2.44-2.66, 3 Pd 2.73
Pt 0.6667 0.3333 0.2939  4 Si 2.44-2.66
Pt 0.3333 0.6667 0.7061  4 Si 2.44-2.66
Nd 0.0000 0.0000 0.0000  6 Pt 3.18, 6 Si 3.30, 2 Pd 3.47

(3)
Crystalline CuTcTeI2 at its relaxed geometry, computed with PBE-GGA.

Output
- Raw formation energy: 0.972 eV/atom
- Energy relative to the lowest polymorph listed for this composition: 210 meV per atom
- Calculated density: 5.975 g cm⁻³
- Space group: P4/mmm, No. 123
- D(E_F): 2.87 states/eV per cell

a b c (Å): 5.2981 5.2981 5.3756
angles (deg): 90.00 90.00 90.00
Last column: nearest neighbours and their distance in Å.
Sites, in units of the cell vectors:
Cu 0.0000 0.0000 0.0000  4 I 2.65, 2 Te 2.69
I 0.0000 0.5000 0.0000  2 Cu 2.65
I 0.5000 0.0000 0.0000  2 Cu 2.65
Te 0.0000 0.0000 0.5000  2 Cu 2.69
Tc 0.5000 0.5000 0.5000  4 Te 3.75, 8 I 3.77

(4)
Crystalline Zn2WCl at its relaxed geometry, computed with PBE-GGA.

Output
- Raw formation energy: 0.821 eV/atom
- Energy relative to the lowest polymorph listed for this composition: 666 meV per atom
- Calculated density: 8.888 g cm⁻³
- Space group: I-4m2, No. 119
- D(E_F): 3.61 states/eV per cell

a b c (Å): 5.2518 5.2518 5.2518
angles (deg): 137.48 137.48 61.71
Last column: nearest neighbours and their distance in Å.
Sites, in units of the cell vectors:
Zn 0.2500 0.7500 0.5000  4 W 2.69, 4 Cl 2.95, 4 Zn 2.95
Zn 0.0000 0.0000 0.0000  4 Cl 2.69, 4 W 2.95, 4 Zn 2.95
Cl 0.5000 0.5000 0.0000  8 Zn 2.69-2.95, 4 W 2.95
W 0.7500 0.2500 0.5000  8 Zn 2.69-2.95, 4 Cl 2.95

(5)
Crystalline La2FeSiC at its relaxed geometry, computed with PBE-GGA.

Output
- Raw formation energy: -0.224 eV/atom
- Energy relative to the lowest polymorph listed for this composition: 121 meV per atom
- Calculated density: 5.902 g cm⁻³
- Space group: P4/mmm, No. 123
- D(E_F): 3.70 states/eV per cell

a b c (Å): 5.3387 5.3387 3.6897
angles (deg): 90.00 90.00 90.00
Last column: nearest neighbours and their distance in Å.
Sites, in units of the cell vectors:
Si 0.5000 0.5000 0.5000  8 La 3.24
C 0.0000 0.0000 0.0000  2 Fe 1.84
La 0.0000 0.5000 0.0000  2 C 2.67
La 0.5000 0.0000 0.0000  2 C 2.67
Fe 0.0000 0.0000 0.5000  2 C 1.84

(6)
Crystalline PtSe3O at its relaxed geometry, computed with PBE-GGA.

Output
- Raw formation energy: 0.763 eV/atom
- Energy relative to the lowest polymorph listed for this composition: 0 meV per atom
- Calculated density: 8.486 g cm⁻³
- Space group: Pm-3m, No. 221
- D(E_F): 5.53 states/eV per cell

a b c (Å): 4.4422 4.4422 4.4422
angles (deg): 90.00 90.00 90.00
Last column: nearest neighbours and their distance in Å.
Sites, in units of the cell vectors:
O 0.0000 0.0000 0.0000  6 Se 2.22
Pt 0.5000 0.5000 0.5000  12 Se 3.14
Se 0.0000 0.5000 0.0000  2 O 2.22
Se 0.0000 0.0000 0.5000  2 O 2.22
Se 0.5000 0.0000 0.0000  2 O 2.22

(7)
Crystalline Zr2Al5RuRh2 at its relaxed geometry, computed with PBE-GGA.

Output
- ΔH_f (0 K): -0.647 eV/atom
- Calculated density: 6.266 g cm⁻³
- Space group: P4/mbm, No. 127
- D(E_F): 13.86 states/eV per cell

a b c (Å): 4.0225 9.0690 9.0690
angles (deg): 90.00 90.00 90.00
Last column: nearest neighbours and their distance in Å.
Sites, in units of the cell vectors:
Rh 0.0000 0.1195 0.6195  6 Al 2.53-2.65, 3 Zr 2.60-2.75
Rh 0.0000 0.3805 0.1195  6 Al 2.53-2.65, 3 Zr 2.60-2.75
Rh 0.0000 0.8805 0.3805  6 Al 2.53-2.65, 3 Zr 2.60-2.75
Rh 0.0000 0.6195 0.8805  6 Al 2.53-2.65, 3 Zr 2.60-2.75
Zr 0.0000 0.1779 0.3221  3 Rh 2.60-2.75
Zr 0.0000 0.3221 0.8221  3 Rh 2.60-2.75
Zr 0.0000 0.6779 0.1779  3 Rh 2.60-2.75
Zr 0.0000 0.8221 0.6779  3 Rh 2.60-2.75
Al 0.5000 0.5588 0.7000  2 Rh 2.65, 3 Al 2.67-2.77, 2 Ru 2.76
Al 0.5000 0.8000 0.9412  2 Rh 2.65, 3 Al 2.67-2.77, 2 Ru 2.76
Al 0.5000 0.4412 0.3000  2 Rh 2.65, 3 Al 2.67-2.77, 2 Ru 2.76
Al 0.5000 0.3000 0.5588  2 Rh 2.65, 3 Al 2.67-2.77, 2 Ru 2.76
Al 0.5000 0.2000 0.0588  2 Rh 2.65, 3 Al 2.67-2.77, 2 Ru 2.76
Al 0.5000 0.5000 0.0000  4 Rh 2.53, 4 Al 2.77
Al 0.5000 0.7000 0.4412  2 Rh 2.65, 3 Al 2.67-2.77, 2 Ru 2.76
Al 0.5000 0.0588 0.8000  2 Rh 2.65, 3 Al 2.67-2.77, 2 Ru 2.76
Al 0.5000 0.9412 0.2000  2 Rh 2.65, 3 Al 2.67-2.77, 2 Ru 2.76
Al 0.5000 0.0000 0.5000  4 Rh 2.53, 4 Al 2.77
Ru 0.0000 0.0000 0.0000  8 Al 2.76
Ru 0.0000 0.5000 0.5000  8 Al 2.76

(8)
Crystalline Na3ThNp2Se6 at its relaxed geometry, computed with PBE-GGA.

Output
- Raw formation energy: -1.308 eV/atom
- Calculated density: 6.409 g cm⁻³
- Space group: C2/m, No. 12
- D(E_F): 23.08 states/eV per cell

a b c (Å): 7.2837 7.2837 7.4483
angles (deg): 99.38 99.38 120.00
Last column: nearest neighbours and their distance in Å.
Sites, in units of the cell vectors:
Na 0.8331 0.1669 0.5000  6 Se 3.05-3.06
Na 0.5000 0.5000 0.5000  6 Se 3.05-3.06
Na 0.1669 0.8331 0.5000  6 Se 3.05-3.06
Se 0.7445 0.7445 0.2360  2 Np 2.94, 1 Th 2.95, 3 Na 3.05-3.06
Se 0.2555 0.2555 0.7640  2 Np 2.94, 1 Th 2.95, 3 Na 3.05-3.06
Se 0.5872 0.9214 0.7642  2 Np 2.94, 1 Th 2.95, 3 Na 3.05-3.06
Se 0.4128 0.0786 0.2358  2 Np 2.94, 1 Th 2.95, 3 Na 3.05-3.06
Se 0.0786 0.4128 0.2358  2 Np 2.94, 1 Th 2.95, 3 Na 3.05-3.06
Se 0.9214 0.5872 0.7642  2 Np 2.94, 1 Th 2.95, 3 Na 3.05-3.06
Th 0.0000 0.0000 0.0000  6 Se 2.95
Np 0.3334 0.6666 0.0000  6 Se 2.94
Np 0.6666 0.3334 0.0000  6 Se 2.94

(9)
Crystalline NaSr3Be3B3O9F4 at its relaxed geometry, computed with PBE-GGA.

Output
- Raw formation energy: -2.944 eV/atom
- Calculated density: 3.396 g cm⁻³
- Space group: R3m, No. 160
- D(E_F): 0.00 states/eV per cell

a b c (Å): 6.7564 6.7564 6.7564
angles (deg): 103.76 103.76 103.76
Last column: nearest neighbours and their distance in Å.
Sites, in units of the cell vectors:
O 0.8976 0.8976 0.5832  1 B 1.40
O 0.0658 0.8373 0.3114  1 B 1.38
O 0.8976 0.5832 0.8976  1 B 1.40
O 0.3114 0.0658 0.8373  1 B 1.38
O 0.3114 0.8373 0.0658  1 B 1.38
O 0.5832 0.8976 0.8976  1 B 1.40
O 0.0658 0.3114 0.8373  1 B 1.38
O 0.8373 0.0658 0.3114  1 B 1.38
O 0.8373 0.3114 0.0658  1 B 1.38
Na 0.2801 0.2801 0.2801  4 F 2.25-2.39
Sr 0.4829 0.8754 0.4829  3 F 2.46-2.56, 4 O 2.68-2.70
Sr 0.8754 0.4829 0.4829  3 F 2.46-2.56, 4 O 2.68-2.70
Sr 0.4829 0.4829 0.8754  3 F 2.46-2.56, 4 O 2.68-2.70
F 0.5437 0.2618 0.5437  1 Na 2.25, 1 Sr 2.46
F 0.9983 0.9983 0.9983  3 Be 1.69
F 0.2618 0.5437 0.5437  1 Na 2.25, 1 Sr 2.46
F 0.5437 0.5437 0.2618  1 Na 2.25, 1 Sr 2.46
Be 0.0700 0.0700 0.7955  3 O 1.59-1.60, 1 F 1.69
Be 0.7955 0.0700 0.0700  3 O 1.59-1.60, 1 F 1.69
Be 0.0700 0.7955 0.0700  3 O 1.59-1.60, 1 F 1.69
B 0.3985 0.9344 0.9344  3 O 1.38-1.40
B 0.9344 0.9344 0.3985  3 O 1.38-1.40
B 0.9344 0.3985 0.9344  3 O 1.38-1.40

(10)
Crystalline LiPm2Ga6Cu at its relaxed geometry, computed with PBE-GGA.

Output
- ΔH_f (0 K): -0.393 eV/atom
- Calculated density: 6.542 g cm⁻³
- Space group: R-3m, No. 166
- D(E_F): 5.50 states/eV per cell

a b c (Å): 6.2927 6.2927 12.0874
angles (deg): 74.91 74.91 60.00
Last column: nearest neighbours and their distance in Å.
Sites, in units of the cell vectors:
Ga 0.7744 0.3483 0.1028  1 Cu 2.40, 1 Li 2.56, 2 Ga 2.68
Ga 0.6675 0.0726 0.5925  1 Cu 2.41, 2 Ga 2.55, 1 Li 2.61
Ga 0.3325 0.3325 0.4075  1 Cu 2.41, 2 Ga 2.55, 1 Li 2.61
Ga 0.6675 0.6675 0.5925  1 Cu 2.41, 2 Ga 2.55, 1 Li 2.61
Ga 0.2256 0.6517 0.8972  1 Cu 2.40, 1 Li 2.56, 2 Ga 2.68
Ga 0.3483 0.7744 0.1028  1 Cu 2.40, 1 Li 2.56, 2 Ga 2.68
Ga 0.6517 0.2256 0.8972  1 Cu 2.40, 1 Li 2.56, 2 Ga 2.68
Ga 0.2256 0.2256 0.8972  1 Cu 2.40, 1 Li 2.56, 2 Ga 2.68
Ga 0.7744 0.7744 0.1028  1 Cu 2.40, 1 Li 2.56, 2 Ga 2.68
Ga 0.0726 0.6675 0.5925  1 Cu 2.41, 2 Ga 2.55, 1 Li 2.61
Ga 0.9274 0.3325 0.4075  1 Cu 2.41, 2 Ga 2.55, 1 Li 2.61
Ga 0.3325 0.9274 0.4075  1 Cu 2.41, 2 Ga 2.55, 1 Li 2.61
Pm 0.1070 0.1070 0.6791  12 Ga 3.27-3.46
Pm 0.8930 0.8930 0.3209  12 Ga 3.27-3.46
Pm 0.2803 0.2803 0.1591  12 Ga 3.22-3.39
Pm 0.7197 0.7197 0.8409  12 Ga 3.22-3.39
Cu 0.5000 0.5000 0.5000  6 Ga 2.41, 2 Li 2.54
Cu 0.0000 0.0000 0.0000  6 Ga 2.40
Li 0.5733 0.5733 0.2800  1 Cu 2.54, 6 Ga 2.56-2.61
Li 0.4267 0.4267 0.7200  1 Cu 2.54, 6 Ga 2.56-2.61

What did the tenth record say?
Crystalline LiPm2Ga6Cu at its relaxed geometry, computed with PBE-GGA.

Output
- ΔH_f (0 K): -0.393 eV/atom
- Calculated density: 6.542 g cm⁻³
- Space group: R-3m, No. 166
- D(E_F): 5.50 states/eV per cell

a b c (Å): 6.2927 6.2927 12.0874
angles (deg): 74.91 74.91 60.00
Last column: nearest neighbours and their distance in Å.
Sites, in units of the cell vectors:
Ga 0.7744 0.3483 0.1028  1 Cu 2.40, 1 Li 2.56, 2 Ga 2.68
Ga 0.6675 0.0726 0.5925  1 Cu 2.41, 2 Ga 2.55, 1 Li 2.61
Ga 0.3325 0.3325 0.4075  1 Cu 2.41, 2 Ga 2.55, 1 Li 2.61
Ga 0.6675 0.6675 0.5925  1 Cu 2.41, 2 Ga 2.55, 1 Li 2.61
Ga 0.2256 0.6517 0.8972  1 Cu 2.40, 1 Li 2.56, 2 Ga 2.68
Ga 0.3483 0.7744 0.1028  1 Cu 2.40, 1 Li 2.56, 2 Ga 2.68
Ga 0.6517 0.2256 0.8972  1 Cu 2.40, 1 Li 2.56, 2 Ga 2.68
Ga 0.2256 0.2256 0.8972  1 Cu 2.40, 1 Li 2.56, 2 Ga 2.68
Ga 0.7744 0.7744 0.1028  1 Cu 2.40, 1 Li 2.56, 2 Ga 2.68
Ga 0.0726 0.6675 0.5925  1 Cu 2.41, 2 Ga 2.55, 1 Li 2.61
Ga 0.9274 0.3325 0.4075  1 Cu 2.41, 2 Ga 2.55, 1 Li 2.61
Ga 0.3325 0.9274 0.4075  1 Cu 2.41, 2 Ga 2.55, 1 Li 2.61
Pm 0.1070 0.1070 0.6791  12 Ga 3.27-3.46
Pm 0.8930 0.8930 0.3209  12 Ga 3.27-3.46
Pm 0.2803 0.2803 0.1591  12 Ga 3.22-3.39
Pm 0.7197 0.7197 0.8409  12 Ga 3.22-3.39
Cu 0.5000 0.5000 0.5000  6 Ga 2.41, 2 Li 2.54
Cu 0.0000 0.0000 0.0000  6 Ga 2.40
Li 0.5733 0.5733 0.2800  1 Cu 2.54, 6 Ga 2.56-2.61
Li 0.4267 0.4267 0.7200  1 Cu 2.54, 6 Ga 2.56-2.61